Version 1
Computed, not measured: a relaxed structure of KCuSe3 at the GGA-PBEsol level of DFT.

Structure (CIF):
```
data_KCuSe3
_cell_length_a 5.428
_cell_length_b 5.428
_cell_length_c 5.428
_cell_angle_alpha 90.00
_cell_angle_beta 90.00
_cell_angle_gamma 90.00
_space_group_name_H-M_alt 'P 1'
_space_group_IT_number 1
loop_
_space_group_symop_operation_xyz
'x,y,z'
loop_
_atom_site_label
_atom_site_type_symbol
_atom_site_fract_x
_atom_site_fract_y
_atom_site_fract_z
K1 K 0.000 0.000 0.000
Cu1 Cu 0.500 0.500 0.500
Se1 Se 0.500 0.000 0.000
Se2 Se 0.000 0.500 0.000
Se3 Se 0.000 0.000 0.500
```

Output
Fermi-level density of states, states/eV per cell: 5.63

***

Version 2
Computed, not measured: a relaxed structure of KCuSe3 at the GGA-PBEsol level of DFT.

Structure (CIF):
```
data_KCuSe3
_cell_length_a 4.859
_cell_length_b 4.859
_cell_length_c 4.859
_cell_angle_alpha 90.00
_cell_angle_beta 90.00
_cell_angle_gamma 90.00
_space_group_name_H-M_alt 'P 1'
_space_group_IT_number 1
loop_
_space_group_symop_operation_xyz
'x,y,z'
loop_
_atom_site_label
_atom_site_type_symbol
_atom_site_fract_x
_atom_site_fract_y
_atom_site_fract_z
Se1 Se 0.000 0.000 0.500
Se2 Se 0.000 0.500 0.000
K1 K 0.500 0.500 0.500
Se3 Se 0.500 0.000 0.000
Cu1 Cu 0.000 0.000 0.000
```

Output
Fermi-level density of states, states/eV per cell: 4.31

***

Quick one: most stable of them? version 2

***

Version 1
Computed, not measured: a relaxed structure of KCuSi2 at the GGA-PBEsol level of DFT.

Structure (CIF):
```
data_KCuSi2
_cell_length_a 3.905
_cell_length_b 3.905
_cell_length_c 6.861
_cell_angle_alpha 73.46
_cell_angle_beta 73.46
_cell_angle_gamma 60.00
_space_group_name_H-M_alt 'P 1'
_space_group_IT_number 1
loop_
_space_group_symop_operation_xyz
'x,y,z'
loop_
_atom_site_label
_atom_site_type_symbol
_atom_site_fract_x
_atom_site_fract_y
_atom_site_fract_z
Si1 Si 0.704 0.704 0.887
Cu1 Cu 0.000 0.000 0.000
Si2 Si 0.296 0.296 0.113
K1 K 0.500 0.500 0.500
```

Output
Fermi-level density of states, states/eV per cell: 0.64

***

Version 2
Computed, not measured: a relaxed structure of KCuSi2 at the GGA-PBEsol level of DFT.

Structure (CIF):
```
data_KCuSi2
_cell_length_a 3.185
_cell_length_b 3.185
_cell_length_c 7.371
_cell_angle_alpha 90.00
_cell_angle_beta 90.00
_cell_angle_gamma 89.93
_space_group_name_H-M_alt 'P 1'
_space_group_IT_number 1
loop_
_space_group_symop_operation_xyz
'x,y,z'
loop_
_atom_site_label
_atom_site_type_symbol
_atom_site_fract_x
_atom_site_fract_y
_atom_site_fract_z
Cu1 Cu 0.500 0.500 0.500
Si1 Si 0.000 0.000 0.663
K1 K 0.500 0.500 0.000
Si2 Si 0.000 0.000 0.337
```

Output
Fermi-level density of states, states/eV per cell: 1.47

***

Version 3
Computed, not measured: a relaxed structure of KCuSi2 at the GGA-PBEsol level of DFT.

Structure (CIF):
```
data_KCuSi2
_cell_length_a 3.896
_cell_length_b 3.896
_cell_length_c 6.977
_cell_angle_alpha 73.79
_cell_angle_beta 73.79
_cell_angle_gamma 60.00
_space_group_name_H-M_alt 'P 1'
_space_group_IT_number 1
loop_
_space_group_symop_operation_xyz
'x,y,z'
loop_
_atom_site_label
_atom_site_type_symbol
_atom_site_fract_x
_atom_site_fract_y
_atom_site_fract_z
Si1 Si 0.957 0.957 0.130
K1 K 0.754 0.754 0.737
Cu1 Cu 0.579 0.579 0.262
Si2 Si 0.215 0.215 0.354
```

Output
Fermi-level density of states, states/eV per cell: 0.60

***

Quick one: most stable of them? version 1

***

Version 1
Computed, not measured: a relaxed structure of K2SrCu at the GGA-PBEsol level of DFT.

Structure (CIF):
```
data_K2SrCu
_cell_length_a 4.312
_cell_length_b 4.312
_cell_length_c 12.011
_cell_angle_alpha 79.66
_cell_angle_beta 79.66
_cell_angle_gamma 60.00
_space_group_name_H-M_alt 'P 1'
_space_group_IT_number 1
loop_
_space_group_symop_operation_xyz
'x,y,z'
loop_
_atom_site_label
_atom_site_type_symbol
_atom_site_fract_x
_atom_site_fract_y
_atom_site_fract_z
Cu1 Cu 0.000 0.000 0.000
Sr1 Sr 0.500 0.500 0.500
K1 K 0.725 0.725 0.826
K2 K 0.275 0.275 0.174
```

Output
Fermi-level density of states, states/eV per cell: 2.71

***

Version 2
Computed, not measured: a relaxed structure of K2SrCu at the GGA-PBEsol level of DFT.

Structure (CIF):
```
data_K2SrCu
_cell_length_a 4.008
_cell_length_b 4.008
_cell_length_c 10.714
_cell_angle_alpha 90.00
_cell_angle_beta 90.00
_cell_angle_gamma 90.00
_space_group_name_H-M_alt 'P 1'
_space_group_IT_number 1
loop_
_space_group_symop_operation_xyz
'x,y,z'
loop_
_atom_site_label
_atom_site_type_symbol
_atom_site_fract_x
_atom_site_fract_y
_atom_site_fract_z
K1 K 0.000 0.000 0.672
Sr1 Sr 0.500 0.500 0.000
Cu1 Cu 0.500 0.500 0.500
K2 K 0.000 0.000 0.328
```

Output
Fermi-level density of states, states/eV per cell: 3.10

***

Version 3
Computed, not measured: a relaxed structure of K2SrCu at the GGA-PBEsol level of DFT.

Structure (CIF):
```
data_K2SrCu
_cell_length_a 4.923
_cell_length_b 4.923
_cell_length_c 7.374
_cell_angle_alpha 109.50
_cell_angle_beta 109.50
_cell_angle_gamma 90.00
_space_group_name_H-M_alt 'P 1'
_space_group_IT_number 1
loop_
_space_group_symop_operation_xyz
'x,y,z'
loop_
_atom_site_label
_atom_site_type_symbol
_atom_site_fract_x
_atom_site_fract_y
_atom_site_fract_z
K1 K 0.750 0.250 0.500
Cu1 Cu 0.000 0.000 0.000
K2 K 0.250 0.750 0.500
Sr1 Sr 0.500 0.500 0.000
```

Output
Fermi-level density of states, states/eV per cell: 2.13

***

Version 4
Computed, not measured: a relaxed structure of K2SrCu at the GGA-PBEsol level of DFT.

Structure (CIF):
```
data_K2SrCu
_cell_length_a 4.439
_cell_length_b 6.187
_cell_length_c 7.539
_cell_angle_alpha 114.21
_cell_angle_beta 90.00
_cell_angle_gamma 90.00
_space_group_name_H-M_alt 'P 1'
_space_group_IT_number 1
loop_
_space_group_symop_operation_xyz
'x,y,z'
loop_
_atom_site_label
_atom_site_type_symbol
_atom_site_fract_x
_atom_site_fract_y
_atom_site_fract_z
K1 K 0.000 0.664 0.828
Cu1 Cu 0.500 0.500 0.500
Sr1 Sr 0.500 0.000 0.500
K2 K 0.000 0.336 0.172
```

Output
Fermi-level density of states, states/eV per cell: 2.20

***

Quick one: most stable of them? version 4

***

Version 1
Computed, not measured: a relaxed structure of KTaCu2 at the GGA-PBEsol level of DFT.

Structure (CIF):
```
data_KTaCu2
_cell_length_a 2.628
_cell_length_b 5.133
_cell_length_c 5.132
_cell_angle_alpha 90.00
_cell_angle_beta 89.99
_cell_angle_gamma 90.00
_space_group_name_H-M_alt 'P 1'
_space_group_IT_number 1
loop_
_space_group_symop_operation_xyz
'x,y,z'
loop_
_atom_site_label
_atom_site_type_symbol
_atom_site_fract_x
_atom_site_fract_y
_atom_site_fract_z
K1 K 0.375 0.000 0.376
Cu1 Cu 0.875 0.500 0.374
Ta1 Ta 0.375 0.500 0.875
Cu2 Cu 0.875 0.000 0.875
```

Output
Fermi-level density of states, states/eV per cell: 3.27

***

Version 2
Computed, not measured: a relaxed structure of KTaCu2 at the GGA-PBEsol level of DFT.

Structure (CIF):
```
data_KTaCu2
_cell_length_a 3.130
_cell_length_b 3.130
_cell_length_c 7.817
_cell_angle_alpha 90.00
_cell_angle_beta 90.00
_cell_angle_gamma 90.00
_space_group_name_H-M_alt 'P 1'
_space_group_IT_number 1
loop_
_space_group_symop_operation_xyz
'x,y,z'
loop_
_atom_site_label
_atom_site_type_symbol
_atom_site_fract_x
_atom_site_fract_y
_atom_site_fract_z
Cu1 Cu 0.000 0.000 0.321
Ta1 Ta 0.500 0.500 0.500
Cu2 Cu 0.000 0.000 0.679
K1 K 0.500 0.500 0.000
```

Output
Fermi-level density of states, states/eV per cell: 2.89

***

Quick one: most stable of them? version 2

***

Version 1
Computed, not measured: a relaxed structure of K2TlCu at the GGA-PBEsol level of DFT.

Structure (CIF):
```
data_K2TlCu
_cell_length_a 5.710
_cell_length_b 5.710
_cell_length_c 5.710
_cell_angle_alpha 60.00
_cell_angle_beta 60.00
_cell_angle_gamma 60.00
_space_group_name_H-M_alt 'P 1'
_space_group_IT_number 1
loop_
_space_group_symop_operation_xyz
'x,y,z'
loop_
_atom_site_label
_atom_site_type_symbol
_atom_site_fract_x
_atom_site_fract_y
_atom_site_fract_z
K1 K 0.750 0.750 0.750
Cu1 Cu 0.000 0.000 0.000
K2 K 0.250 0.250 0.250
Tl1 Tl 0.500 0.500 0.500
```

Output
Fermi-level density of states, states/eV per cell: 3.69

***

Version 2
Computed, not measured: a relaxed structure of K2TlCu at the GGA-PBEsol level of DFT.

Structure (CIF):
```
data_K2TlCu
_cell_length_a 4.592
_cell_length_b 5.126
_cell_length_c 6.608
_cell_angle_alpha 112.82
_cell_angle_beta 90.00
_cell_angle_gamma 90.00
_space_group_name_H-M_alt 'P 1'
_space_group_IT_number 1
loop_
_space_group_symop_operation_xyz
'x,y,z'
loop_
_atom_site_label
_atom_site_type_symbol
_atom_site_fract_x
_atom_site_fract_y
_atom_site_fract_z
K1 K 0.000 0.100 0.200
Cu1 Cu 0.500 0.702 0.403
Tl1 Tl 0.000 0.799 0.598
K2 K 0.500 0.400 0.801
```

Output
Fermi-level density of states, states/eV per cell: 2.39

***

Quick one: most stable of them? version 2